First-principles (PBE-GGA) data for a relaxed LaTaHg2 crystal, as listed in Alexandria.

Computed properties:
Volume in Å³ per atom: 27.83
Crystal system: tetragonal
E in eV per atom: -3.789
Distance to the lowest polymorph of the same formula in eV/atom: 0.443

Cell lengths 4.700, 4.700, 10.610 Å; angles 77.20, 77.20, 90.00 degrees
Atoms (fractional coordinates):
La 0.500 0.500 0.000
Hg 0.875 0.942 0.750
Ta 0.000 0.000 0.000
Hg 0.058 0.625 0.250
Hg 0.375 0.308 0.750
Hg 0.692 0.125 0.250
Ta 0.750 0.250 0.500
La 0.250 0.750 0.500